Entry 1:
An optimized crystal structure of RbMnCl5, computed with PBE-GGA.

Cell and atoms, written as extended XYZ:
```
14
Lattice="6.341 0.895 1.782 1.551 6.213 1.782 1.091 0.983 11.831" Properties=species:S:1:pos:R:3 pbc="T T T"
Mn 6.803 1.550 8.075
Cl 2.331 6.422 4.202
Cl 4.759 7.323 12.943
Cl 7.234 3.478 7.027
Cl 7.805 5.638 10.241
Cl 4.628 2.055 7.953
Mn 1.705 6.113 2.159
Rb 4.416 4.454 10.639
Cl 4.067 6.167 7.524
Rb 4.344 3.437 4.724
Cl 7.103 3.894 13.439
Cl 1.980 3.898 2.038
Cl 5.875 6.684 4.325
Cl 7.176 2.141 10.117
```

---

Entry 2:
An optimized crystal structure of RbMnCl6, computed with PBE-GGA.

Cell and atoms, written as extended XYZ:
```
8
Lattice="6.046 -0.492 -0.112 -0.037 6.066 -0.112 1.558 1.445 6.168" Properties=species:S:1:pos:R:3 pbc="T T T"
Cl 4.660 0.401 1.454
Cl 6.818 2.402 4.490
Mn 0.000 0.000 0.000
Cl 0.750 4.617 1.454
Rb 3.784 3.509 2.972
Cl 5.956 5.524 5.401
Cl 1.612 1.495 0.542
Cl 2.907 6.618 4.490
```

---

Entry 3:
An optimized crystal structure of RbMn3Cl8, computed with PBE-GGA.

Cell and atoms, written as extended XYZ:
```
12
Lattice="-1.117 0.964 -7.812 7.401 -1.396 2.815 -5.166 -5.560 0.053" Properties=species:S:1:pos:R:3 pbc="T T T"
Cl -1.367 -4.311 -4.382
Mn 1.676 -6.474 -1.039
Cl 2.485 -1.681 -0.563
Cl 5.731 -2.204 0.479
Rb 0.000 0.000 0.000
Mn 3.142 -0.216 -2.499
Mn 3.700 -0.698 1.407
Cl 5.297 -1.830 -2.554
Cl -4.180 -4.162 -2.391
Cl -0.608 -4.702 -0.493
Cl 1.725 -1.290 -4.451
Cl -4.613 -3.788 -5.424
```

---

Entry 4:
An optimized crystal structure of Rb2MnReCl6, computed with PBE-GGA.

Cell and atoms, written as extended XYZ:
```
10
Lattice="7.334 0.000 0.000 0.000 7.334 0.000 3.667 3.667 4.547" Properties=species:S:1:pos:R:3 pbc="T T T"
Rb 7.334 3.667 2.273
Re 0.000 0.000 0.000
Cl 7.334 7.334 2.326
Cl 1.739 5.595 0.000
Cl 5.595 1.739 0.000
Rb 3.667 7.334 2.273
Cl 3.667 3.667 2.221
Cl 5.595 5.595 0.000
Mn 3.667 3.667 0.000
Cl 1.739 1.739 0.000
```

---

no.,total magnetization (μB/f.u.),ΔE_f (raw) (eV/atom),calculated volume (A^3/atom)
1,3.11,-1.149,30.8
2,2.22,-0.945,28.5
3,14.00,-1.089,28.8
4,6.00,-0.945,24.5